Computed, not measured: AcNi3Sn after structural relaxation at the PBE level of DFT.

Values from the calculation:
**Raw total energy**: -0.3694 Ry per atom
**Fermi-level density of states**: 7.6 states/eV per cell
**Calculated formation energy**: 66 meV per atom
**Total magnetization**: 0.00 μB/f.u.

a = 4.8397 Å, b = 5.6222 Å, c = 7.9506 Å
α = 90.00°, β = 90.00°, γ = 90.00°
With the nearest neighbours (Å) after each atom.
Sites, in units of the cell vectors:
Sn: 0.0000 0.0000 0.5000  6 Ni 2.42-2.44
Sn: 0.0000 0.5000 0.0000  6 Ni 2.42-2.44
Ni: 0.0000 0.2460 0.2482  2 Sn 2.43-2.44
Ni: 0.5000 0.0000 0.5000  2 Sn 2.42
Ni: 0.0000 0.7540 0.7518  2 Sn 2.43-2.44
Ni: 0.0000 0.7460 0.2518  2 Sn 2.43-2.44
Ni: 0.0000 0.2540 0.7482  2 Sn 2.43-2.44
Ni: 0.5000 0.5000 0.0000  2 Sn 2.42
Ac: 0.5000 0.0000 0.0000  2 Ni 2.81
Ac: 0.5000 0.5000 0.5000  2 Ni 2.81